## LaAlCdAu2 (GGA-PBEsol)

Data for a geometry-optimized LaAlCdAu2 structure.

The raw total energy comes out at -3.9243 eV/atom. The energy of formation from the pure elements is -0.228 eV/atom.

a b c (Å): 4.8638 4.8638 4.9342
angles (deg): 90.00 90.00 90.00
With the nearest neighbours (Å) after each atom.
Fractional positions:
La  0.0000  0.0000  0.0000  4 Cd 3.44, 8 Au 3.46
Al  0.5000  0.5000  0.5000  4 Au 2.43, 2 Cd 2.47
Cd  0.5000  0.5000  0.0000  2 Al 2.47
Au  0.0000  0.5000  0.5000  2 Al 2.43
Au  0.5000  0.0000  0.5000  2 Al 2.43